1.
A plane-wave DFT calculation with PBE was carried out for a geometry-optimized La5Pr8Al structure.

* formation enthalpy at 0 K: 105 meV/atom
* SG: I-4 (82)
* DOS(E_F): 1.406 states/eV/atom
* size of the total moment: 0.0 μB per cell
* calculated total energy: -65.144 eV/cell

Unit cell a=8.7811 b=8.7811 c=8.7811 alpha=103.54 beta=103.54 gamma=122.13
Positions (direct):
La 0.0000 0.0000 0.0000
La 0.2130 0.4012 0.8001
La 0.5871 0.7870 0.1883
La 0.5988 0.3989 0.8117
La 0.6011 0.4129 0.1999
Pr 0.0385 0.9420 0.4817
Pr 0.0580 0.5396 0.0965
Pr 0.4157 0.0764 0.3403
Pr 0.4431 0.9615 0.9035
Pr 0.4604 0.5569 0.5183
Pr 0.7361 0.0754 0.6597
Pr 0.9236 0.2639 0.3393
Pr 0.9246 0.5843 0.6607
Al 0.2500 0.7500 0.5000

---

2.
A plane-wave DFT calculation with PBE was carried out for a geometry-optimized Na3AgF4 structure.

* SG: P2/c (13)
* DOS(E_F): 0.000 states/eV/atom
* size of the total moment: 0.1 μB per cell
* E above lowest polymorph: 0 meV per atom
* formation energy without anion corrections: -2.281 eV/atom
* calculated total energy: -65.089 eV/cell

Unit cell a=5.9436 b=6.7461 c=5.8567 alpha=90.00 beta=110.44 gamma=90.00
Positions (direct):
Na 0.0000 0.1215 0.2500
Na 0.0000 0.3746 0.7500
Na 0.0000 0.6254 0.2500
Na 0.0000 0.8785 0.7500
Na 0.5000 0.1228 0.7500
Na 0.5000 0.8772 0.2500
Ag 0.5000 0.3812 0.2500
Ag 0.5000 0.6188 0.7500
F 0.2270 0.3628 0.5062
F 0.2270 0.6372 0.0062
F 0.2479 0.1182 0.9940
F 0.2479 0.8818 0.4940
F 0.7521 0.1182 0.5060
F 0.7521 0.8818 0.0060
F 0.7730 0.3628 0.9938
F 0.7730 0.6372 0.4938

---

3.
A plane-wave DFT calculation with PBE was carried out for a geometry-optimized RbNbPd2Br structure.

* SG: R3m (160)
* DOS(E_F): 0.819 states/eV/atom
* size of the total moment: 0.4 μB per cell
* E above lowest polymorph: 0 meV per atom
* formation energy without anion corrections: -0.290 eV/atom
* calculated total energy: -24.545 eV/cell

Unit cell a=8.7849 b=8.7849 c=8.7849 alpha=29.85 beta=29.85 gamma=29.85
Positions (direct):
Rb 0.0000 0.0000 0.0000
Nb 0.1439 0.1439 0.1439
Pd 0.4464 0.4464 0.4464
Pd 0.7797 0.7797 0.7797
Br 0.2452 0.2452 0.2452

---

4.
A plane-wave DFT calculation with PBE was carried out for a geometry-optimized Ce11Ni4Ge6 structure.

* formation enthalpy at 0 K: -605 meV/atom
* SG: C2/m (12)
* DOS(E_F): 2.240 states/eV/atom
* size of the total moment: 9.3 μB per cell
* calculated total energy: -128.800 eV/cell

Unit cell a=9.1564 b=9.1564 c=13.7090 alpha=107.65 beta=107.65 gamma=26.83
Positions (direct):
Ce 0.0000 0.0000 0.0000
Ce 0.0962 0.0962 0.2810
Ce 0.1449 0.1449 0.8479
Ce 0.2164 0.2164 0.5989
Ce 0.3473 0.3473 0.9125
Ce 0.4474 0.4474 0.3701
Ce 0.5526 0.5526 0.6299
Ce 0.6527 0.6527 0.0875
Ce 0.7836 0.7836 0.4011
Ce 0.8551 0.8551 0.1521
Ce 0.9038 0.9038 0.7190
Ni 0.0591 0.0591 0.4735
Ni 0.2455 0.2455 0.0481
Ni 0.7545 0.7545 0.9519
Ni 0.9409 0.9409 0.5265
Ge 0.2612 0.2612 0.2355
Ge 0.3726 0.3726 0.5509
Ge 0.4827 0.4827 0.1495
Ge 0.5173 0.5173 0.8505
Ge 0.6274 0.6274 0.4491
Ge 0.7388 0.7388 0.7645

---

5.
A plane-wave DFT calculation with PBE was carried out for a geometry-optimized LiUICl4 structure.

* SG: C2/m (12)
* DOS(E_F): 1.133 states/eV/atom
* size of the total moment: 4.0 μB per cell
* formation energy without anion corrections: -1.523 eV/atom
* calculated total energy: -65.599 eV/cell

Unit cell a=7.5490 b=7.5490 c=8.6301 alpha=103.02 beta=103.02 gamma=69.89
Positions (direct):
Li 0.1359 0.1359 0.3024
Li 0.8641 0.8641 0.6976
U 0.2798 0.2798 0.8904
U 0.7202 0.7202 0.1096
I 0.4835 0.4835 0.2031
I 0.5165 0.5165 0.7969
Cl 0.0190 0.4001 0.1491
Cl 0.0616 0.0616 0.8041
Cl 0.2388 0.2388 0.5742
Cl 0.4001 0.0190 0.1491
Cl 0.5999 0.9810 0.8509
Cl 0.7612 0.7612 0.4258
Cl 0.9384 0.9384 0.1959
Cl 0.9810 0.5999 0.8509

---

6.
A plane-wave DFT calculation with PBE was carried out for a geometry-optimized Cd3AsI2 structure.

* SG: C2/c (15)
* DOS(E_F): 0.250 states/eV/atom
* size of the total moment: 0.0 μB per cell
* formation energy without anion corrections: -0.214 eV/atom
* calculated total energy: -23.561 eV/cell

Unit cell a=7.5895 b=7.5895 c=7.6902 alpha=103.45 beta=103.45 gamma=114.45
Positions (direct):
Cd 0.0000 0.5000 0.5000
Cd 0.1115 0.2393 0.0149
Cd 0.2393 0.1115 0.5149
Cd 0.5000 0.0000 0.0000
Cd 0.7607 0.8885 0.4851
Cd 0.8885 0.7607 0.9851
As 0.1006 0.8994 0.7500
As 0.8994 0.1006 0.2500
I 0.2570 0.7430 0.2500
I 0.4253 0.5747 0.7500
I 0.5747 0.4253 0.2500
I 0.7430 0.2570 0.7500